Material: CrH5O4
Method: DFT, PBEsol
State: optimized geometry

Results
Space-group type ... Pm, No. 6
M_tot ... 3.00 μB/f.u.
E_tot ... -59.36 eV/cell

Cell lengths 3.028, 4.266, 5.709 Å; angles 102.53, 90.00, 90.00 degrees
Last column: magnetic moment on the atom in μB.
Element x y z (fractional)
H 0.500 0.045 0.075  0.00
H 0.000 0.565 0.475  0.01
H 0.254 0.632 0.785  0.00
H 0.500 0.424 0.223  0.00
H 0.746 0.632 0.785  0.00
O 0.500 0.809 0.820  -0.02
O 0.000 0.763 0.402  -0.01
O 0.000 0.332 0.673  0.02
O 0.500 0.199 0.237  0.00
Cr 0.500 0.047 0.541  2.82